A plane-wave DFT calculation with PBE-GGA was carried out for crystalline HgBiTePd2 at its relaxed geometry.

## Properties
* volume: 149.4 Å³/f.u.
* density of states at the Fermi level: 1.2329 states/eV/atom
* uncorrected formation energy: 0.61 eV/atom
* ρ: 8.338 g cm⁻³
* DFT total energy: -14.65 eV for the cell shown

Cell and atoms, written as CIF:
```
data_HgBiTePd2
_cell_length_a 5.187
_cell_length_b 5.187
_cell_length_c 5.553
_cell_angle_alpha 90.00
_cell_angle_beta 90.00
_cell_angle_gamma 90.00
_space_group_name_H-M_alt 'P 4/m m m'
_space_group_IT_number 123
_space_group_name_Hall '-P 4 2'
loop_
_atom_site_label
_atom_site_type_symbol
_atom_site_fract_x
_atom_site_fract_y
_atom_site_fract_z
Hg1 Hg 0.000 0.000 0.000
Bi1 Bi 0.000 0.000 0.500
Te1 Te 0.500 0.500 0.000
Pd1 Pd 0.000 0.500 0.500
```